ZnCuS2N | PBE | optimized geometry

For the total energy, the calculation gives -15.9 eV for the cell shown. The value obtained for the volume is 84 Å³ per cell. The value obtained for the distance to the lowest polymorph of the same formula is 30.9 kJ/mol of atoms.

The space group is P4/mmm (No. 123) and the conventional cell measures 4.794, 4.794 and 3.643 Å, with angles of 90.00, 90.00 and 90.00 degrees. The asymmetric unit holds Zn at (0.000, 0.000, 0.000), Cu at (0.500, 0.500, 0.500), S at (0.000, 0.500, 0.000) and N at (0.000, 0.000, 0.500).